Below is Fe3NF after structural relaxation, with properties calculated at the PBE with a Hubbard U level.

Output
The crystal system is cubic. As for the spin magnetization: 2.0294 μB/atom. As for the space group: No. 221. The calculation puts the energy above the lowest structure with this stoichiometry at 0.0 meV/atom.

abc: 4.070 4.070 4.070
angles: 90.00 90.00 90.00
Each line ends with the local moment (μB).
Sites, in units of the cell vectors:
N: 0.000 0.000 0.000  -0.02
Fe: 0.000 0.500 0.000  3.42
Fe: 0.000 0.000 0.500  3.39
Fe: 0.500 0.000 0.000  3.41
F: 0.500 0.500 0.500  0.10